## Sr3Ho4S8 (GGA-PBE)

Data for a relaxed Sr3Ho4S8 crystal.

For the total magnetic moment, the calculation gives 0.0 μB per cell. The value obtained for the energy is -5.790 eV per atom.

The structure belongs to space group C2/m (No. 12); the cell edges are 11.418, 11.453 and 8.002 Å and the angles 90.00°, 134.12° and 90.00°. The inequivalent atoms are Sr at (0.000, 0.000, 0.000), Sr at (0.250, 0.250, 0.000), Ho at (0.000, 0.500, 0.000), Ho at (0.000, 0.500, 0.500), Ho at (0.250, 0.250, 0.500), S at (0.000, 0.258, 0.000), S at (0.000, 0.259, 0.500), S at (0.226, 0.500, 0.974) and S at (0.236, 0.500, 0.484).